Computed, not measured: crystalline GaHOs at its relaxed geometry at the PBE-GGA level of DFT.

a = 4.5654 Å, b = 4.5654 Å, c = 4.5654 Å
α = 136.21°, β = 136.21°, γ = 63.65°
With the nearest neighbours (Å) after each atom.
Positions (direct):
1 Ga 0.0000 0.0000 0.0000  4 Os 2.45, 5 H 2.67-2.73
2 H 0.6486 0.6486 0.0000  1 Os 1.59
3 Os 0.4439 0.4439 0.0000  1 H 1.59

* N(E_F): 1.68 states/eV/cell
* energy above the most stable polymorph in this dataset: 447 meV/atom
* E_tot: -15.810 eV/cell
* symmetry: No. 107